DFT (PBE) results for an optimized crystal structure of Ce4BiPbSe2.

The value obtained for the total energy is -5.958 eV per atom. Its uncorrected formation energy is -1.17 eV per atom. For the total magnetization, the calculation gives 14.4 Bohr magnetons per cell.

The structure belongs to space group Imma (No. 74); the cell edges are 8.7806, 8.7885 and 12.4194 Å and the angles 90.00°, 90.00° and 90.00°. Symmetry generates all atoms from Ce at (0.0000, 0.0166, 0.2427), Ce at (0.2352, 0.2500, 0.0082), Bi at (0.2500, 0.2500, 0.7500), Pb at (0.0000, 0.0000, 0.5000), Se at (0.0000, 0.0000, 0.0000) and Se at (0.2500, 0.2500, 0.2500).